# 1
Fe5Br (GGA-PBE, optimized geometry); V = 90 Å³/f.u.; crystal system = orthorhombic; formation energy from raw total energies = 0.400 eV/atom; distance to the lowest polymorph of the same formula = 0.0 meV per atom; uncorrected energy = -41.587 eV/cell
1.0
3.801 0.000 0.000
0.000 1.569 7.552
0.000 -1.569 7.552
Fe Br
5 1
Direct
0.000 0.000 0.000
0.000 0.252 0.252
0.000 0.621 0.621
0.500 0.115 0.115
0.500 0.744 0.744
0.500 0.387 0.387


# 2
La4OsPd (GGA-PBE, optimized geometry); V = 175 Å³/f.u.; crystal system = monoclinic; distance to the lowest polymorph of the same formula = 0.0 meV per atom; uncorrected energy = -76.603 eV/cell
1.0
4.320 -6.492 0.000
4.320 6.492 0.000
-1.494 0.000 6.256
La Os Pd
8 2 2
Direct
0.065 0.721 0.971
0.225 0.380 0.568
0.279 0.935 0.529
0.380 0.225 0.068
0.620 0.775 0.932
0.721 0.065 0.471
0.775 0.620 0.432
0.935 0.279 0.029
0.001 0.999 0.750
0.999 0.001 0.250
0.377 0.623 0.250
0.623 0.377 0.750


# 3
Ba4AsSe (GGA-PBE, optimized geometry); V = 233 Å³/f.u.; crystal system = cubic; formation energy from raw total energies = -0.026 eV/atom; uncorrected energy = -15.984 eV/cell
1.0
0.000 4.883 4.883
4.883 0.000 4.883
4.883 4.883 0.000
Ba As Se
4 1 1
Direct
0.125 0.125 0.125
0.125 0.125 0.624
0.125 0.624 0.125
0.624 0.125 0.125
0.500 0.500 0.500
0.750 0.750 0.750


# 4
TcAsPt2 (GGA-PBE, optimized geometry); V = 63 Å³/f.u.; crystal system = trigonal; uncorrected energy = -26.939 eV/cell
1.0
1.428 0.824 8.932
-1.428 0.824 8.932
0.000 -1.648 8.932
Tc As Pt
1 1 2
Direct
0.000 0.000 0.000
0.500 0.500 0.500
0.252 0.252 0.252
0.748 0.748 0.748


# 5
Sr6MgAu (GGA-PBE, optimized geometry); V = 363 Å³/f.u.; crystal system = orthorhombic; uncorrected energy = -16.404 eV/cell
1.0
4.425 0.000 0.000
0.000 6.037 6.796
0.000 -6.037 6.796
Sr Mg Au
6 1 1
Direct
0.000 0.000 0.000
0.000 0.558 0.897
0.000 0.897 0.558
0.500 0.258 0.258
0.500 0.260 0.705
0.500 0.705 0.260
0.000 0.491 0.491
0.500 0.619 0.619


# 6
PmFeSi3Rh (GGA-PBE, optimized geometry); V = 109 Å³/f.u.; crystal system = orthorhombic; formation energy from raw total energies = -0.469 eV/atom; uncorrected energy = -79.298 eV/cell
1.0
3.553 -5.561 0.000
3.553 5.561 0.000
0.000 0.000 5.509
Pm Fe Si Rh
2 2 6 2
Direct
0.240 0.760 0.750
0.760 0.240 0.250
0.045 0.955 0.250
0.955 0.045 0.750
0.234 0.766 0.250
0.244 0.244 0.000
0.244 0.244 0.500
0.756 0.756 0.000
0.756 0.756 0.500
0.766 0.234 0.750
0.432 0.568 0.250
0.568 0.432 0.750


# 7
Au3CS (GGA-PBE, optimized geometry); V = 84 Å³/f.u.; crystal system = cubic; formation energy from raw total energies = 1.045 eV/atom; distance to the lowest polymorph of the same formula = 0.0 meV per atom; uncorrected energy = -17.960 eV/cell
1.0
4.380 0.000 0.000
0.000 4.380 0.000
0.000 0.000 4.380
Au C S
3 1 1
Direct
0.000 0.000 0.500
0.000 0.500 0.000
0.500 0.000 0.000
0.000 0.000 0.000
0.500 0.500 0.500


# 8
Ac6CuRu2I3 (GGA-PBE, optimized geometry); V = 435 Å³/f.u.; crystal system = monoclinic; formation energy from raw total energies = -0.723 eV/atom; uncorrected energy = -60.629 eV/cell
1.0
3.800 -6.580 0.000
3.800 6.580 0.000
-2.530 0.000 8.690
Ac Cu Ru I
6 1 2 3
Direct
0.089 0.438 0.814
0.213 0.213 0.185
0.438 0.089 0.814
0.562 0.911 0.186
0.787 0.787 0.815
0.911 0.562 0.186
0.500 0.500 0.000
0.167 0.833 0.000
0.833 0.167 0.000
0.000 0.000 0.500
0.333 0.667 0.500
0.667 0.333 0.500